# 1
VASP calculation (GGA-PBE) on Mn3CdSi after structural relaxation.

Computed properties:
Calculated volume (Å³ per atom): 23.70
Density of states at the Fermi level (states/eV/f.u.): 2.7
E above lowest polymorph (meV per atom): 942
Formation energy (no corrections) (eV/atom): 1.410
Total energy (eV/atom): -5.359

abc: 4.911 4.911 4.911
angles: 90.00 90.00 90.00
Atoms (fractional coordinates):
Si 0.500 0.500 0.500
Mn 0.500 0.000 0.000
Mn 0.000 0.500 0.000
Mn 0.000 0.000 0.500
Cd 0.000 0.000 0.000

---

# 2
VASP calculation (GGA-PBE) on MnCdSi4 after structural relaxation.

Computed properties:
Calculated volume (Å³ per atom): 16.05
Density of states at the Fermi level (states/eV/f.u.): 3.5
Formation energy (no corrections) (eV/atom): 0.476
Total energy (eV/atom): -4.820

abc: 5.145 5.145 5.145
angles: 60.00 60.00 60.00
Atoms (fractional coordinates):
Si 0.877 0.374 0.374
Si 0.374 0.374 0.877
Si 0.374 0.877 0.374
Si 0.374 0.374 0.374
Cd 0.750 0.750 0.750
Mn 0.000 0.000 0.000

---

# 3
VASP calculation (GGA-PBE) on MnCd2Si2 after structural relaxation.

Computed properties:
Calculated volume (Å³ per atom): 20.40
Density of states at the Fermi level (states/eV/f.u.): 2.4
E above lowest polymorph (meV per atom): 317
Formation energy (no corrections) (eV/atom): 0.547
Total energy (eV/atom): -3.822

abc: 4.238 4.238 6.422
angles: 70.73 70.73 90.00
Atoms (fractional coordinates):
Mn 0.000 0.000 0.000
Cd 0.250 0.750 0.500
Cd 0.750 0.250 0.500
Si 0.600 0.600 0.801
Si 0.400 0.400 0.199

---

# 4
VASP calculation (GGA-PBE) on MnCd2Si after structural relaxation.

Computed properties:
Calculated volume (Å³ per atom): 18.79
Density of states at the Fermi level (states/eV/f.u.): 1.4
Formation energy (no corrections) (eV/atom): 0.392
Total energy (eV/atom): -3.714

abc: 10.351 10.351 10.351
angles: 16.19 16.19 16.19
Atoms (fractional coordinates):
Cd 0.995 0.995 0.995
Cd 0.505 0.505 0.505
Mn 0.250 0.250 0.250
Si 0.750 0.750 0.750

---

# 5
VASP calculation (GGA-PBE) on MnCd2Si after structural relaxation.

Computed properties:
Calculated volume (Å³ per atom): 18.04
Density of states at the Fermi level (states/eV/f.u.): 2.2
Formation energy (no corrections) (eV/atom): 0.311
Total energy (eV/atom): -3.794

abc: 5.303 5.303 5.303
angles: 135.53 135.53 64.71
Atoms (fractional coordinates):
Cd 0.500 0.500 0.000
Cd 0.000 0.000 0.000
Mn 0.250 0.750 0.500
Si 0.750 0.250 0.500

---

# 6
VASP calculation (GGA-PBE) on Mn2Cd2Si after structural relaxation.

Computed properties:
Calculated volume (Å³ per atom): 17.23
Density of states at the Fermi level (states/eV/f.u.): 4.0
E above lowest polymorph (meV per atom): 454
Formation energy (no corrections) (eV/atom): 0.609
Total energy (eV/atom): -4.510

abc: 3.136 3.136 9.036
angles: 80.01 80.01 90.00
Atoms (fractional coordinates):
Mn 0.750 0.250 0.500
Mn 0.250 0.750 0.500
Cd 0.614 0.614 0.772
Cd 0.386 0.386 0.228
Si 0.000 0.000 0.000

---

# 7
VASP calculation (GGA-PBE) on MnCd2Si after structural relaxation.

Computed properties:
Calculated volume (Å³ per atom): 18.84
Density of states at the Fermi level (states/eV/f.u.): 3.2
Formation energy (no corrections) (eV/atom): 0.431
Total energy (eV/atom): -3.675

abc: 4.741 4.741 4.741
angles: 60.00 60.00 60.00
Atoms (fractional coordinates):
Cd 0.000 0.000 0.000
Cd 0.250 0.250 0.250
Si 0.750 0.750 0.750
Mn 0.500 0.500 0.500

---

# 8
VASP calculation (GGA-PBE) on MnCd2Si after structural relaxation.

Computed properties:
Calculated volume (Å³ per atom): 17.52
Density of states at the Fermi level (states/eV/f.u.): 2.1
Formation energy (no corrections) (eV/atom): 0.135
Total energy (eV/atom): -3.971

abc: 3.154 3.154 7.045
angles: 90.00 90.00 90.00
Atoms (fractional coordinates):
Cd 0.500 0.500 0.280
Cd 0.000 0.000 0.978
Mn 0.000 0.000 0.565
Si 0.500 0.500 0.677

---

# 9
VASP calculation (GGA-PBE) on Mn2CdSi2 after structural relaxation.

Computed properties:
Calculated volume (Å³ per atom): 13.66
Density of states at the Fermi level (states/eV/f.u.): 3.0
Formation energy (no corrections) (eV/atom): -0.010
Total energy (eV/atom): -6.031

abc: 7.063 7.063 2.738
angles: 90.00 90.00 90.00
Atoms (fractional coordinates):
Si 0.648 0.852 0.500
Si 0.852 0.352 0.500
Si 0.148 0.648 0.500
Si 0.352 0.148 0.500
Mn 0.358 0.858 0.000
Mn 0.858 0.642 0.000
Mn 0.142 0.358 0.000
Mn 0.642 0.142 0.000
Cd 0.000 0.000 0.000
Cd 0.500 0.500 0.000

---

# 10
VASP calculation (GGA-PBE) on MnCd2Si after structural relaxation.

Computed properties:
Calculated volume (Å³ per atom): 18.45
Density of states at the Fermi level (states/eV/f.u.): 3.2
Formation energy (no corrections) (eV/atom): 0.352
Total energy (eV/atom): -3.754

abc: 5.236 2.925 4.822
angles: 92.21 90.00 90.00
Atoms (fractional coordinates):
Mn 0.500 0.250 0.250
Cd 0.000 0.516 0.497
Cd 0.000 0.984 0.003
Si 0.500 0.750 0.750

---

# 11
VASP calculation (GGA-PBE) on MnCd2Si after structural relaxation.

Computed properties:
Calculated volume (Å³ per atom): 18.27
Density of states at the Fermi level (states/eV/f.u.): 2.9
Formation energy (no corrections) (eV/atom): 0.354
Total energy (eV/atom): -3.752

abc: 3.259 4.019 5.578
angles: 90.00 90.00 90.00
Atoms (fractional coordinates):
Cd 0.000 0.000 0.003
Cd 0.000 0.000 0.497
Si 0.500 0.500 0.750
Mn 0.500 0.500 0.250

---

# 12
VASP calculation (GGA-PBE) on Mn2Cd2Si after structural relaxation.

Computed properties:
Calculated volume (Å³ per atom): 18.61
Density of states at the Fermi level (states/eV/f.u.): 3.3
E above lowest polymorph (meV per atom): 395
Formation energy (no corrections) (eV/atom): 0.550
Total energy (eV/atom): -4.569

abc: 8.043 8.043 2.877
angles: 90.00 90.00 90.00
Atoms (fractional coordinates):
Si 0.000 0.000 0.000
Si 0.500 0.500 0.000
Mn 0.880 0.380 0.500
Mn 0.120 0.620 0.500
Mn 0.380 0.120 0.500
Mn 0.620 0.880 0.500
Cd 0.676 0.176 0.000
Cd 0.824 0.676 0.000
Cd 0.324 0.824 0.000
Cd 0.176 0.324 0.000